1.
DFT (PBEsol) results for crystalline ZrScCd at its relaxed geometry.

Cell and atoms, written as POSCAR:
```
ZrScCd
1.0
-1.928 2.312 1.114
0.739 -0.834 3.010
5.394 3.293 -2.123
Zr Sc Cd
1 1 1
direct
0.333 0.333 0.666 Zr
0.665 0.665 0.331 Sc
0.001 0.001 0.003 Cd
```

Output
The formation energy from the elements is -197 meV/atom. The calculated volume is 21.5 A^3/atom.

2.
DFT (PBEsol) results for crystalline CdSe at its relaxed geometry.

Cell and atoms, written as POSCAR:
```
CdSe
1.0
-0.063 1.718 -3.942
-1.613 -3.932 0.658
-6.307 2.809 1.325
Se Cd
2 2
direct
0.333 0.667 0.125 Se
0.667 0.333 0.625 Se
0.667 0.333 0.000 Cd
0.333 0.667 0.500 Cd
```

Output
The formation energy from raw total energies comes out at -0.5641 eV per atom. The calculated volume is 28.1 A^3/atom.

3.
DFT (PBEsol) results for crystalline CdSe at its relaxed geometry.

Cell and atoms, written as POSCAR:
```
CdSe
1.0
3.023 0.000 0.000
0.000 3.023 0.000
0.000 0.000 9.554
Cd Se
2 2
direct
0.500 0.000 0.618 Cd
0.000 0.500 0.382 Cd
0.000 0.500 0.837 Se
0.500 0.000 0.163 Se
```

Output
The formation energy from raw total energies comes out at 0.1365 eV per atom. The calculated volume is 21.8 A^3/atom.

4.
DFT (PBEsol) results for crystalline CdSe at its relaxed geometry.

Cell and atoms, written as POSCAR:
```
CdSe
1.0
4.301 0.000 0.000
2.150 3.725 0.000
2.150 1.242 3.512
Se Cd
1 1
direct
0.750 0.750 0.750 Se
0.000 0.000 0.000 Cd
```

Output
The formation energy from raw total energies comes out at -0.5650 eV per atom. The calculated volume is 28.1 A^3/atom.

5.
DFT (PBEsol) results for crystalline CdSiSe2 at its relaxed geometry.

Cell and atoms, written as POSCAR:
```
CdSiSe2
1.0
-2.490 -0.915 2.800
1.602 -3.497 0.282
3.700 2.014 3.949
Se Si Cd
2 1 1
direct
0.500 0.500 0.378 Se
0.000 0.000 0.930 Se
0.000 0.000 0.353 Si
0.500 0.500 0.840 Cd
```

Output
The formation energy from raw total energies comes out at -0.2440 eV per atom. The calculated volume is 21.5 A^3/atom.

6.
DFT (PBEsol) results for crystalline CdSiSe2 at its relaxed geometry.

Cell and atoms, written as POSCAR:
```
CdSiSe2
1.0
5.581 0.000 0.000
0.000 5.581 0.000
-2.790 -2.790 6.870
Si Se Cd
2 4 2
direct
0.750 0.250 0.500 Si
0.500 0.500 0.000 Si
0.625 0.602 0.750 Se
0.852 0.375 0.250 Se
0.398 0.875 0.250 Se
0.125 0.148 0.750 Se
0.250 0.750 0.500 Cd
0.000 0.000 0.000 Cd
```

Output
The formation energy from raw total energies comes out at -0.0461 eV per atom. The calculated volume is 26.7 A^3/atom.

What is the calculated volume in the fifth record? 21.5 A^3/atom